Entry 1:
This record from Alexandria via LeMat-Bulk describes a geometry-optimized Cu3SiPd structure. The functional is GGA-PBEsol.

a b c (Å): 4.532 4.532 4.532
angles (deg): 90.00 90.00 90.00
Element x y z (fractional)
Cu (0.000, 0.000, 0.500)
Cu (0.000, 0.500, 0.000)
Cu (0.500, 0.000, 0.000)
Si (0.500, 0.500, 0.500)
Pd (0.000, 0.000, 0.000)

Calculated values
- Fermi-level density of states: 2.0 states/eV/f.u.
- Formation energy without anion corrections: 1.150 eV per atom
- Mass density: 5.8 g/cm³


Entry 2:
This record from Alexandria via LeMat-Bulk describes a geometry-optimized ZrAg3 structure. The functional is GGA-PBEsol.

a b c (Å): 2.852 4.850 5.140
angles (deg): 90.00 90.00 90.00
Element x y z (fractional)
Zr (0.000, 0.000, 0.000)
Ag (0.000, 0.500, 0.675)
Ag (0.500, 0.000, 0.498)
Ag (0.500, 0.500, 0.187)

Calculated values
- Formation energy from the elements: 0.29 kcal/mol of atoms
- Fermi-level density of states: 1.9 states/eV/f.u.
- Mass density: 9.7 g/cm³